First-principles (PBE) data for crystalline InIr3 at its relaxed geometry, as listed in Alexandria.

a b c (Å): 4.824 4.824 4.903
angles (deg): 99.96 99.96 34.38
Atoms (fractional coordinates):
In (0.000, 0.000, 0.000)
Ir (0.247, 0.247, 0.731)
Ir (0.500, 0.500, 0.500)
Ir (0.753, 0.753, 0.269)

Values from the calculation:
**Space-group type**: C2/m, No. 12
**E_form**: 0.30 eV/f.u.
**N(E_F)**: 2.63 states/eV per cell


First-principles (PBE) data for crystalline CoSbTe2 at its relaxed geometry, as listed in Alexandria.

a b c (Å): 3.461 5.196 5.226
angles (deg): 90.00 90.00 90.00
Atoms (fractional coordinates):
Co (0.000, 0.000, 0.000)
Sb (0.500, 0.000, 0.500)
Te (0.000, 0.500, 0.500)
Te (0.500, 0.500, 0.000)

Values from the calculation:
**Space-group type**: Pmmm, No. 47
**N(E_F)**: 6.82 states/eV per cell
**Uncorrected formation energy**: 0.656 eV/atom


First-principles (PBE) data for crystalline CoReOs2 at its relaxed geometry, as listed in Alexandria.

a b c (Å): 4.625 4.625 2.714
angles (deg): 90.00 90.00 108.96
Atoms (fractional coordinates):
Co (0.000, 0.000, 0.000)
Re (0.500, 0.500, 0.000)
Os (0.000, 0.500, 0.500)
Os (0.500, 0.000, 0.500)

Values from the calculation:
**Space-group type**: Cmmm, No. 65
**E_form**: 0.63 eV/f.u.
**N(E_F)**: 5.08 states/eV per cell
**Polymorph energy (0 for the lowest one)**: 67.8 meV per atom


First-principles (PBE) data for crystalline Pm4Y2Er5 at its relaxed geometry, as listed in Alexandria.

a b c (Å): 10.001 10.001 6.576
angles (deg): 91.26 91.26 32.85
Atoms (fractional coordinates):
Pm (0.021, 0.021, 0.285)
Pm (0.305, 0.305, 0.927)
Pm (0.695, 0.695, 0.073)
Pm (0.979, 0.979, 0.715)
Y (0.401, 0.401, 0.447)
Y (0.599, 0.599, 0.553)
Er (0.130, 0.130, 0.892)
Er (0.209, 0.209, 0.402)
Er (0.500, 0.500, 0.000)
Er (0.791, 0.791, 0.598)
Er (0.870, 0.870, 0.108)

Values from the calculation:
**Space-group type**: C2/m, No. 12
**E_form**: 1.10 eV/f.u.
**N(E_F)**: 17.11 states/eV per cell
**Polymorph energy (0 for the lowest one)**: 0.0 meV per atom


First-principles (PBE) data for crystalline PdAu at its relaxed geometry, as listed in Alexandria.

a b c (Å): 3.800 3.800 3.800
angles (deg): 60.00 60.00 60.00
Atoms (fractional coordinates):
Pd (0.000, 0.000, 0.000)
Au (0.500, 0.500, 0.500)

Values from the calculation:
**Space-group type**: Fm-3m, No. 225
**E_form**: 0.67 eV/f.u.
**N(E_F)**: 1.57 states/eV per cell


First-principles (PBE) data for crystalline La3CeSm2As6 at its relaxed geometry, as listed in Alexandria.

a b c (Å): 7.434 7.434 7.448
angles (deg): 99.58 99.58 119.99
Atoms (fractional coordinates):
La (0.000, 0.000, 0.000)
La (0.333, 0.667, 0.000)
La (0.667, 0.333, 0.000)
Ce (0.500, 0.500, 0.500)
Sm (0.166, 0.834, 0.500)
Sm (0.834, 0.166, 0.500)
As (0.089, 0.420, 0.259)
As (0.250, 0.250, 0.741)
As (0.420, 0.089, 0.259)
As (0.580, 0.911, 0.741)
As (0.750, 0.750, 0.259)
As (0.911, 0.580, 0.741)

Values from the calculation:
**Space-group type**: C2/m, No. 12
**E_form**: -18.45 eV/f.u.
**N(E_F)**: 5.73 states/eV per cell


First-principles (PBE) data for crystalline La10Sn4O3 at its relaxed geometry, as listed in Alexandria.

a b c (Å): 18.971 18.971 18.971
angles (deg): 164.82 164.82 21.53
Atoms (fractional coordinates):
La (0.000, 0.500, 0.500)
La (0.068, 0.068, 0.000)
La (0.136, 0.636, 0.500)
La (0.212, 0.212, 0.000)
La (0.364, 0.864, 0.500)
La (0.500, 0.000, 0.500)
La (0.636, 0.136, 0.500)
La (0.788, 0.788, 0.000)
La (0.864, 0.364, 0.500)
La (0.932, 0.932, 0.000)
Sn (0.301, 0.301, 0.000)
Sn (0.432, 0.432, 0.000)
Sn (0.568, 0.568, 0.000)
Sn (0.699, 0.699, 0.000)
O (0.000, 0.000, 0.000)
O (0.139, 0.139, 0.000)
O (0.861, 0.861, 0.000)

Values from the calculation:
**Space-group type**: I4/mmm, No. 139
**N(E_F)**: 14.03 states/eV per cell
**Uncorrected formation energy**: -1.451 eV/atom


First-principles (PBE) data for crystalline Tb4CeTm10 at its relaxed geometry, as listed in Alexandria.

a b c (Å): 8.627 8.627 8.627
angles (deg): 111.67 111.67 105.17
Atoms (fractional coordinates):
Tb (0.049, 0.719, 0.769)
Tb (0.281, 0.049, 0.330)
Tb (0.719, 0.951, 0.670)
Tb (0.951, 0.281, 0.231)
Ce (0.500, 0.500, 0.000)
Tm (0.119, 0.208, 0.663)
Tm (0.208, 0.545, 0.088)
Tm (0.250, 0.750, 0.500)
Tm (0.455, 0.544, 0.663)
Tm (0.456, 0.119, 0.912)
Tm (0.544, 0.881, 0.088)
Tm (0.545, 0.456, 0.337)
Tm (0.750, 0.250, 0.500)
Tm (0.792, 0.455, 0.912)
Tm (0.881, 0.792, 0.337)

Values from the calculation:
**Space-group type**: I4/m, No. 87
**E_form**: 7.08 eV/f.u.
**N(E_F)**: 27.64 states/eV per cell


First-principles (PBE) data for crystalline In3CuCl at its relaxed geometry, as listed in Alexandria.

a b c (Å): 5.142 5.142 5.142
angles (deg): 90.00 90.00 90.00
Atoms (fractional coordinates):
In (0.000, 0.000, 0.500)
In (0.000, 0.500, 0.000)
In (0.500, 0.000, 0.000)
Cu (0.000, 0.000, 0.000)
Cl (0.500, 0.500, 0.500)

Values from the calculation:
**Space-group type**: Pm-3m, No. 221
**N(E_F)**: 1.74 states/eV per cell
**Uncorrected formation energy**: -0.177 eV/atom
**Polymorph energy (0 for the lowest one)**: 0.0 meV per atom


First-principles (PBE) data for crystalline ZnFeP at its relaxed geometry, as listed in Alexandria.

a b c (Å): 4.853 4.853 4.853
angles (deg): 144.82 144.82 50.60
Atoms (fractional coordinates):
Zn (0.000, 0.000, 0.000)
Fe (0.694, 0.694, 0.000)
P (0.301, 0.301, 0.000)

Values from the calculation:
**Space-group type**: I4mm, No. 107
**E_form**: -0.35 eV/f.u.
**N(E_F)**: 1.08 states/eV per cell


First-principles (PBE) data for crystalline CuPBr3 at its relaxed geometry, as listed in Alexandria.

a b c (Å): 5.122 5.122 5.122
angles (deg): 90.00 90.00 90.00
Atoms (fractional coordinates):
Cu (0.000, 0.000, 0.000)
P (0.500, 0.500, 0.500)
Br (0.000, 0.500, 0.500)
Br (0.500, 0.000, 0.500)
Br (0.500, 0.500, 0.000)

Values from the calculation:
**Space-group type**: Pm-3m, No. 221
**N(E_F)**: 1.74 states/eV per cell
**Uncorrected formation energy**: 0.386 eV/atom
**Polymorph energy (0 for the lowest one)**: 636.3 meV per atom


First-principles (PBE) data for crystalline PrEr3Rh8 at its relaxed geometry, as listed in Alexandria.

a b c (Å): 5.343 5.343 8.753
angles (deg): 90.00 90.00 120.00
Atoms (fractional coordinates):
Pr (0.000, 0.000, 0.000)
Er (0.000, 0.000, 0.368)
Er (0.667, 0.333, 0.498)
Er (0.667, 0.333, 0.862)
Rh (0.165, 0.329, 0.679)
Rh (0.165, 0.835, 0.679)
Rh (0.333, 0.667, 0.432)
Rh (0.333, 0.667, 0.931)
Rh (0.502, 0.004, 0.187)
Rh (0.502, 0.498, 0.187)
Rh (0.671, 0.835, 0.679)
Rh (0.996, 0.498, 0.187)

Values from the calculation:
**Space-group type**: P3m1, No. 156
**E_form**: -8.35 eV/f.u.
**N(E_F)**: 7.80 states/eV per cell


First-principles (PBE) data for crystalline TbCd2In at its relaxed geometry, as listed in Alexandria.

a b c (Å): 5.050 5.050 5.834
angles (deg): 90.00 90.00 120.00
Atoms (fractional coordinates):
Tb (0.000, 0.000, 0.000)
Cd (0.000, 0.000, 0.500)
Cd (0.333, 0.667, 0.500)
In (0.667, 0.333, 0.500)

Values from the calculation:
**Space-group type**: P-6m2, No. 187
**E_form**: 1.61 eV/f.u.
**N(E_F)**: 4.28 states/eV per cell
**Polymorph energy (0 for the lowest one)**: 729.3 meV per atom


First-principles (PBE) data for crystalline Ag4AsS5 at its relaxed geometry, as listed in Alexandria.

a b c (Å): 6.557 6.557 6.557
angles (deg): 99.12 99.12 133.08
Atoms (fractional coordinates):
Ag (0.104, 0.293, 0.397)
Ag (0.293, 0.896, 0.190)
Ag (0.707, 0.104, 0.810)
Ag (0.896, 0.707, 0.603)
As (0.510, 0.510, 0.000)
S (0.211, 0.577, 0.790)
S (0.421, 0.211, 0.634)
S (0.577, 0.787, 0.366)
S (0.787, 0.421, 0.210)
S (0.960, 0.960, 0.000)

Values from the calculation:
**Space-group type**: I4, No. 79
**N(E_F)**: 5.62 states/eV per cell
**Uncorrected formation energy**: 0.026 eV/atom


First-principles (PBE) data for crystalline CeSmRh at its relaxed geometry, as listed in Alexandria.

a b c (Å): 6.030 6.030 6.030
angles (deg): 145.20 145.20 50.03
Atoms (fractional coordinates):
Ce (0.000, 0.000, 0.000)
Sm (0.297, 0.297, 0.000)
Rh (0.622, 0.622, 0.000)

Values from the calculation:
**Space-group type**: I4mm, No. 107
**E_form**: -1.29 eV/f.u.
**N(E_F)**: 3.98 states/eV per cell
**Polymorph energy (0 for the lowest one)**: 74.3 meV per atom


First-principles (PBE) data for crystalline SmPa2Se3 at its relaxed geometry, as listed in Alexandria.

a b c (Å): 5.790 12.463 8.083
angles (deg): 90.00 90.03 90.00
Atoms (fractional coordinates):
Sm (0.250, 0.081, 0.128)
Sm (0.250, 0.419, 0.628)
Sm (0.750, 0.581, 0.372)
Sm (0.750, 0.919, 0.872)
Pa (0.250, 0.084, 0.622)
Pa (0.250, 0.416, 0.122)
Pa (0.251, 0.747, 0.625)
Pa (0.251, 0.753, 0.125)
Pa (0.749, 0.247, 0.875)
Pa (0.749, 0.253, 0.375)
Pa (0.750, 0.584, 0.878)
Pa (0.750, 0.916, 0.378)
Se (0.249, 0.248, 0.875)
Se (0.249, 0.252, 0.375)
Se (0.250, 0.583, 0.371)
Se (0.250, 0.585, 0.878)
Se (0.250, 0.915, 0.378)
Se (0.250, 0.917, 0.871)
Se (0.750, 0.083, 0.129)
Se (0.750, 0.085, 0.622)
Se (0.750, 0.415, 0.122)
Se (0.750, 0.417, 0.629)
Se (0.751, 0.748, 0.625)
Se (0.751, 0.752, 0.125)

Values from the calculation:
**Space-group type**: P2_1/c, No. 14
**N(E_F)**: 36.45 states/eV per cell
**Uncorrected formation energy**: -1.395 eV/atom


First-principles (PBE) data for crystalline Tl2CoCu at its relaxed geometry, as listed in Alexandria.

a b c (Å): 4.647 4.647 3.336
angles (deg): 90.00 90.00 90.00
Atoms (fractional coordinates):
Tl (0.000, 0.500, 0.000)
Tl (0.500, 0.000, 0.000)
Co (0.000, 0.000, 0.500)
Cu (0.500, 0.500, 0.500)

Values from the calculation:
**Space-group type**: P4/mmm, No. 123
**E_form**: 2.08 eV/f.u.
**N(E_F)**: 3.36 states/eV per cell
**Polymorph energy (0 for the lowest one)**: 112.6 meV per atom


First-principles (PBE) data for crystalline Pm2YS4 at its relaxed geometry, as listed in Alexandria.

a b c (Å): 7.951 7.951 7.951
angles (deg): 119.81 119.02 91.01
Atoms (fractional coordinates):
Pm (0.000, 0.000, 0.000)
Pm (0.500, 0.000, 0.000)
Pm (0.500, 0.000, 0.500)
Pm (0.500, 0.500, 0.500)
Y (0.000, 0.000, 0.500)
Y (0.000, 0.500, 0.000)
S (0.240, 0.746, 0.494)
S (0.247, 0.241, 0.494)
S (0.247, 0.753, 0.006)
S (0.248, 0.254, 0.994)
S (0.752, 0.746, 0.006)
S (0.753, 0.247, 0.994)
S (0.753, 0.759, 0.506)
S (0.760, 0.254, 0.506)

Values from the calculation:
**Space-group type**: Imma, No. 74
**N(E_F)**: 3.90 states/eV per cell
**Uncorrected formation energy**: -2.036 eV/atom
**Polymorph energy (0 for the lowest one)**: 0.0 meV per atom


First-principles (PBE) data for crystalline MgSi2Ni2 at its relaxed geometry, as listed in Alexandria.

a b c (Å): 4.115 4.115 8.628
angles (deg): 90.00 90.00 77.89
Atoms (fractional coordinates):
Mg (0.203, 0.797, 0.750)
Mg (0.797, 0.203, 0.250)
Si (0.312, 0.688, 0.107)
Si (0.312, 0.688, 0.393)
Si (0.688, 0.312, 0.607)
Si (0.688, 0.312, 0.893)
Ni (0.206, 0.206, 0.000)
Ni (0.206, 0.206, 0.500)
Ni (0.794, 0.794, 0.000)
Ni (0.794, 0.794, 0.500)

Values from the calculation:
**Space-group type**: Cmcm, No. 63
**N(E_F)**: 2.31 states/eV per cell
**Uncorrected formation energy**: -0.423 eV/atom


First-principles (PBE) data for crystalline RbRhC at its relaxed geometry, as listed in Alexandria.

a b c (Å): 10.774 10.774 5.715
angles (deg): 90.00 90.00 149.13
Atoms (fractional coordinates):
Rb (0.131, 0.869, 0.995)
Rb (0.369, 0.631, 0.495)
Rb (0.631, 0.369, 0.505)
Rb (0.869, 0.131, 0.005)
Rh (0.249, 0.251, 0.750)
Rh (0.251, 0.249, 0.250)
Rh (0.749, 0.751, 0.750)
Rh (0.751, 0.749, 0.250)
C (0.034, 0.966, 0.466)
C (0.466, 0.534, 0.966)
C (0.534, 0.466, 0.034)
C (0.966, 0.034, 0.534)

Values from the calculation:
**Space-group type**: Cmce, No. 64
**E_form**: 1.39 eV/f.u.
**N(E_F)**: 6.84 states/eV per cell